a.
# PBE-GGA Tc2TeN, optimized geometry
data_Tc2TeN
_chemical_formula_sum 'Tc8 Te4 N4'
_space_group_name_H-M_alt 'I -4 2 d'
_space_group_IT_number 122
_space_group_name_Hall 'I -4 2bw'
_cell_length_a 5.2955
_cell_length_b 5.2955
_cell_length_c 9.9757
_cell_angle_alpha 90.00
_cell_angle_beta 90.00
_cell_angle_gamma 90.00
loop_
_atom_site_label
_atom_site_type_symbol
_atom_site_fract_x
_atom_site_fract_y
_atom_site_fract_z
Tc1 Tc 0.1372 0.2500 0.1250
Te1 Te 0.0000 0.0000 0.5000
N1 N 0.0000 0.0000 0.0000
# **Calculated density**: 8.0 g/cm3
# **Crystal system**: tetragonal

=====

b.
# PBE-GGA Tc2TeN, optimized geometry
data_Tc2TeN
_chemical_formula_sum 'Tc8 Te4 N4'
_space_group_name_H-M_alt 'F m -3 m'
_space_group_IT_number 225
_space_group_name_Hall '-F 4 2 3'
_cell_length_a 6.1235
_cell_length_b 6.1235
_cell_length_c 6.1235
_cell_angle_alpha 90.00
_cell_angle_beta 90.00
_cell_angle_gamma 90.00
loop_
_atom_site_label
_atom_site_type_symbol
_atom_site_fract_x
_atom_site_fract_y
_atom_site_fract_z
Tc1 Tc 0.2500 0.2500 0.2500
Te1 Te 0.0000 0.0000 0.0000
N1 N 0.0000 0.0000 0.5000
# **Calculated density**: 9.8 g/cm3
# **Crystal system**: cubic

=====

a is favored, and the nearest alternative lies 0.750 eV/atom above it.

=====

a.
# PBE-GGA TiTcTeN2, optimized geometry
data_TiTcTeN2
_chemical_formula_sum 'Ti1 Tc1 Te1 N2'
_space_group_name_H-M_alt 'P 4/m m m'
_space_group_IT_number 123
_space_group_name_Hall '-P 4 2'
_cell_length_a 3.8874
_cell_length_b 3.8874
_cell_length_c 5.5778
_cell_angle_alpha 90.00
_cell_angle_beta 90.00
_cell_angle_gamma 90.00
loop_
_atom_site_label
_atom_site_type_symbol
_atom_site_fract_x
_atom_site_fract_y
_atom_site_fract_z
Ti1 Ti 0.0000 0.0000 0.0000
Tc1 Tc 0.5000 0.5000 0.5000
Te1 Te 0.5000 0.5000 0.0000
N1 N 0.0000 0.5000 0.5000
# **Calculated density**: 5.9 g/cm3
# **Crystal system**: tetragonal

=====

b.
# PBE-GGA TiTcTeN2, optimized geometry
data_TiTcTeN2
_chemical_formula_sum 'Ti1 Tc1 Te1 N2'
_space_group_name_H-M_alt 'P 4/m m m'
_space_group_IT_number 123
_space_group_name_Hall '-P 4 2'
_cell_length_a 3.9275
_cell_length_b 3.9275
_cell_length_c 5.7663
_cell_angle_alpha 90.00
_cell_angle_beta 90.00
_cell_angle_gamma 90.00
loop_
_atom_site_label
_atom_site_type_symbol
_atom_site_fract_x
_atom_site_fract_y
_atom_site_fract_z
Ti1 Ti 0.0000 0.0000 0.0000
Tc1 Tc 0.5000 0.5000 0.5000
Te1 Te 0.0000 0.0000 0.5000
N1 N 0.0000 0.5000 0.0000
# **Calculated density**: 5.6 g/cm3
# **Crystal system**: tetragonal

=====

a is favored, and the nearest alternative lies 0.201 eV/atom above it.

=====

a.
# PBE-GGA VTcTeN2, optimized geometry
data_VTcTeN2
_chemical_formula_sum 'V1 Tc1 Te1 N2'
_space_group_name_H-M_alt 'P 4/m m m'
_space_group_IT_number 123
_space_group_name_Hall '-P 4 2'
_cell_length_a 3.8419
_cell_length_b 3.8419
_cell_length_c 5.5652
_cell_angle_alpha 90.00
_cell_angle_beta 90.00
_cell_angle_gamma 90.00
loop_
_atom_site_label
_atom_site_type_symbol
_atom_site_fract_x
_atom_site_fract_y
_atom_site_fract_z
V1 V 0.0000 0.0000 0.0000
Tc1 Tc 0.5000 0.5000 0.5000
Te1 Te 0.0000 0.0000 0.5000
N1 N 0.0000 0.5000 0.0000
# **Calculated density**: 6.2 g/cm3
# **Crystal system**: tetragonal

=====

b.
# PBE-GGA VTcTeN2, optimized geometry
data_VTcTeN2
_chemical_formula_sum 'V1 Tc1 Te1 N2'
_space_group_name_H-M_alt 'P 4/m m m'
_space_group_IT_number 123
_space_group_name_Hall '-P 4 2'
_cell_length_a 3.8653
_cell_length_b 3.8653
_cell_length_c 5.6633
_cell_angle_alpha 90.00
_cell_angle_beta 90.00
_cell_angle_gamma 90.00
loop_
_atom_site_label
_atom_site_type_symbol
_atom_site_fract_x
_atom_site_fract_y
_atom_site_fract_z
V1 V 0.0000 0.0000 0.0000
Tc1 Tc 0.5000 0.5000 0.5000
Te1 Te 0.5000 0.5000 0.0000
N1 N 0.0000 0.5000 0.5000
# **Calculated density**: 6.0 g/cm3
# **Crystal system**: tetragonal

=====

a is favored, and the nearest alternative lies 0.043 eV/atom above it.

=====

a.
# PBE-GGA VTcTe2N, optimized geometry
data_VTcTe2N
_chemical_formula_sum 'V1 Tc1 Te2 N1'
_space_group_name_H-M_alt 'P 4/m m m'
_space_group_IT_number 123
_space_group_name_Hall '-P 4 2'
_cell_length_a 5.3302
_cell_length_b 5.3302
_cell_length_c 3.5923
_cell_angle_alpha 90.00
_cell_angle_beta 90.00
_cell_angle_gamma 90.00
loop_
_atom_site_label
_atom_site_type_symbol
_atom_site_fract_x
_atom_site_fract_y
_atom_site_fract_z
V1 V 0.0000 0.0000 0.0000
Tc1 Tc 0.5000 0.5000 0.5000
Te1 Te 0.0000 0.5000 0.0000
N1 N 0.0000 0.0000 0.5000
# **Calculated density**: 6.8 g/cm3
# **Crystal system**: tetragonal

=====

b.
# PBE-GGA VTcTe2N, optimized geometry
data_VTcTe2N
_chemical_formula_sum 'V1 Tc1 Te2 N1'
_space_group_name_H-M_alt 'P 4/m m m'
_space_group_IT_number 123
_space_group_name_Hall '-P 4 2'
_cell_length_a 5.4056
_cell_length_b 5.4056
_cell_length_c 3.6878
_cell_angle_alpha 90.00
_cell_angle_beta 90.00
_cell_angle_gamma 90.00
loop_
_atom_site_label
_atom_site_type_symbol
_atom_site_fract_x
_atom_site_fract_y
_atom_site_fract_z
V1 V 0.0000 0.0000 0.0000
Tc1 Tc 0.5000 0.5000 0.5000
Te1 Te 0.0000 0.5000 0.5000
N1 N 0.5000 0.5000 0.0000
# **Calculated density**: 6.4 g/cm3
# **Crystal system**: tetragonal

=====

b is favored, and the nearest alternative lies 0.096 eV/atom above it.

=====

a.
# PBE-GGA TcTe2WN, optimized geometry
data_TcTe2WN
_chemical_formula_sum 'Tc1 Te2 W1 N1'
_space_group_name_H-M_alt 'P 4/m m m'
_space_group_IT_number 123
_space_group_name_Hall '-P 4 2'
_cell_length_a 5.3517
_cell_length_b 5.3517
_cell_length_c 3.6723
_cell_angle_alpha 90.00
_cell_angle_beta 90.00
_cell_angle_gamma 90.00
loop_
_atom_site_label
_atom_site_type_symbol
_atom_site_fract_x
_atom_site_fract_y
_atom_site_fract_z
Tc1 Tc 0.0000 0.0000 0.0000
Te1 Te 0.0000 0.5000 0.0000
W1 W 0.5000 0.5000 0.5000
N1 N 0.0000 0.0000 0.5000
# **Calculated density**: 8.7 g/cm3
# **Crystal system**: tetragonal

=====

b.
# PBE-GGA TcTe2WN, optimized geometry
data_TcTe2WN
_chemical_formula_sum 'Tc1 Te2 W1 N1'
_space_group_name_H-M_alt 'P 4/m m m'
_space_group_IT_number 123
_space_group_name_Hall '-P 4 2'
_cell_length_a 5.4351
_cell_length_b 5.4351
_cell_length_c 3.7892
_cell_angle_alpha 90.00
_cell_angle_beta 90.00
_cell_angle_gamma 90.00
loop_
_atom_site_label
_atom_site_type_symbol
_atom_site_fract_x
_atom_site_fract_y
_atom_site_fract_z
Tc1 Tc 0.0000 0.0000 0.0000
Te1 Te 0.0000 0.5000 0.5000
W1 W 0.5000 0.5000 0.5000
N1 N 0.5000 0.5000 0.0000
# **Calculated density**: 8.2 g/cm3
# **Crystal system**: tetragonal

=====

b is favored, and the nearest alternative lies 0.129 eV/atom above it.

=====

a.
# PBE-GGA YTcTeN2, optimized geometry
data_YTcTeN2
_chemical_formula_sum 'Y1 Tc1 Te1 N2'
_space_group_name_H-M_alt 'P 4/m m m'
_space_group_IT_number 123
_space_group_name_Hall '-P 4 2'
_cell_length_a 4.3615
_cell_length_b 4.3615
_cell_length_c 6.3659
_cell_angle_alpha 90.00
_cell_angle_beta 90.00
_cell_angle_gamma 90.00
loop_
_atom_site_label
_atom_site_type_symbol
_atom_site_fract_x
_atom_site_fract_y
_atom_site_fract_z
Y1 Y 0.0000 0.0000 0.0000
Tc1 Tc 0.5000 0.5000 0.5000
Te1 Te 0.0000 0.0000 0.5000
N1 N 0.0000 0.5000 0.0000
# **Calculated density**: 4.7 g/cm3
# **Crystal system**: tetragonal

=====

b.
# PBE-GGA YTcTeN2, optimized geometry
data_YTcTeN2
_chemical_formula_sum 'Y1 Tc1 Te1 N2'
_space_group_name_H-M_alt 'P 4/m m m'
_space_group_IT_number 123
_space_group_name_Hall '-P 4 2'
_cell_length_a 4.0441
_cell_length_b 4.0441
_cell_length_c 5.4689
_cell_angle_alpha 90.00
_cell_angle_beta 90.00
_cell_angle_gamma 90.00
loop_
_atom_site_label
_atom_site_type_symbol
_atom_site_fract_x
_atom_site_fract_y
_atom_site_fract_z
Y1 Y 0.0000 0.0000 0.0000
Tc1 Tc 0.5000 0.5000 0.5000
Te1 Te 0.5000 0.5000 0.0000
N1 N 0.0000 0.5000 0.5000
# **Calculated density**: 6.4 g/cm3
# **Crystal system**: tetragonal

=====

b is favored, and the nearest alternative lies 1.130 eV/atom above it.

=====

a.
# PBE-GGA YTcTe2N, optimized geometry
data_YTcTe2N
_chemical_formula_sum 'Y1 Tc1 Te2 N1'
_space_group_name_H-M_alt 'P 4/m m m'
_space_group_IT_number 123
_space_group_name_Hall '-P 4 2'
_cell_length_a 5.9384
_cell_length_b 5.9384
_cell_length_c 4.0759
_cell_angle_alpha 90.00
_cell_angle_beta 90.00
_cell_angle_gamma 90.00
loop_
_atom_site_label
_atom_site_type_symbol
_atom_site_fract_x
_atom_site_fract_y
_atom_site_fract_z
Y1 Y 0.0000 0.0000 0.0000
Tc1 Tc 0.5000 0.5000 0.5000
Te1 Te 0.0000 0.5000 0.0000
N1 N 0.0000 0.0000 0.5000
# **Calculated density**: 5.3 g/cm3
# **Crystal system**: tetragonal

=====

b.
# PBE-GGA YTcTe2N, optimized geometry
data_YTcTe2N
_chemical_formula_sum 'Y1 Tc1 Te2 N1'
_space_group_name_H-M_alt 'P 4/m m m'
_space_group_IT_number 123
_space_group_name_Hall '-P 4 2'
_cell_length_a 5.4959
_cell_length_b 5.4959
_cell_length_c 3.7739
_cell_angle_alpha 90.00
_cell_angle_beta 90.00
_cell_angle_gamma 90.00
loop_
_atom_site_label
_atom_site_type_symbol
_atom_site_fract_x
_atom_site_fract_y
_atom_site_fract_z
Y1 Y 0.0000 0.0000 0.0000
Tc1 Tc 0.5000 0.5000 0.5000
Te1 Te 0.0000 0.5000 0.5000
N1 N 0.5000 0.5000 0.0000
# **Calculated density**: 6.6 g/cm3
# **Crystal system**: tetragonal

=====

b is favored, and the nearest alternative lies 1.148 eV/atom above it.

=====

a.
# PBE-GGA ZnTcTeN2, optimized geometry
data_ZnTcTeN2
_chemical_formula_sum 'Zn1 Tc1 Te1 N2'
_space_group_name_H-M_alt 'P 4/m m m'
_space_group_IT_number 123
_space_group_name_Hall '-P 4 2'
_cell_length_a 3.8602
_cell_length_b 3.8602
_cell_length_c 5.8200
_cell_angle_alpha 90.00
_cell_angle_beta 90.00
_cell_angle_gamma 90.00
loop_
_atom_site_label
_atom_site_type_symbol
_atom_site_fract_x
_atom_site_fract_y
_atom_site_fract_z
Zn1 Zn 0.0000 0.0000 0.0000
Tc1 Tc 0.5000 0.5000 0.5000
Te1 Te 0.5000 0.5000 0.0000
N1 N 0.0000 0.5000 0.5000
# **Calculated density**: 6.1 g/cm3
# **Crystal system**: tetragonal

=====

b.
# PBE-GGA ZnTcTeN2, optimized geometry
data_ZnTcTeN2
_chemical_formula_sum 'Zn1 Tc1 Te1 N2'
_space_group_name_H-M_alt 'P 4/m m m'
_space_group_IT_number 123
_space_group_name_Hall '-P 4 2'
_cell_length_a 3.8616
_cell_length_b 3.8616
_cell_length_c 5.6376
_cell_angle_alpha 90.00
_cell_angle_beta 90.00
_cell_angle_gamma 90.00
loop_
_atom_site_label
_atom_site_type_symbol
_atom_site_fract_x
_atom_site_fract_y
_atom_site_fract_z
Zn1 Zn 0.0000 0.0000 0.0000
Tc1 Tc 0.5000 0.5000 0.5000
Te1 Te 0.0000 0.0000 0.5000
N1 N 0.0000 0.5000 0.0000
# **Calculated density**: 6.3 g/cm3
# **Crystal system**: tetragonal

=====

a is favored, and the nearest alternative lies 1.388 eV/atom above it.